1.
DFT (PBE-GGA) results for an optimized crystal structure of Na2Te4O9.

abc: 7.0063 7.5111 10.7871
angles: 70.68 91.09 70.44
Last column: nearest neighbours and their distance in Å.
Positions (direct):
Na 0.9846 0.8220 0.6349  4 O 2.33-2.38
Na 0.5208 0.2157 0.5148  5 O 2.37-2.50
Na 0.4792 0.7843 0.4852  5 O 2.37-2.50
Na 0.0154 0.1780 0.3651  4 O 2.33-2.38
O 0.9382 0.4919 0.1153  1 Te 1.94
O 0.7208 0.6753 0.3402  2 Te 1.97-2.13
O 0.0365 0.1253 0.5959  1 Te 1.84
O 0.3428 0.6605 0.6959  1 Te 1.91
O 0.2792 0.3247 0.6598  2 Te 1.97-2.13
O 0.3317 0.5035 0.1180  1 Te 1.95
O 0.6422 0.8560 0.6470  1 Te 1.86
O 0.0450 0.1585 0.8569  2 Te 1.94-2.09
O 0.3385 0.6725 0.3346  1 Te 1.92
O 0.6615 0.3275 0.6654  1 Te 1.92
O 0.7176 0.8536 0.9093  2 Te 1.99-2.04
O 0.6572 0.3395 0.3041  1 Te 1.91
O 0.2824 0.1464 0.0907  2 Te 1.99-2.04
O 0.9550 0.8415 0.1431  2 Te 1.94-2.09
O 0.6683 0.4965 0.8820  1 Te 1.95
O 0.0618 0.5081 0.8847  1 Te 1.94
O 0.3578 0.1440 0.3530  1 Te 1.86
O 0.9635 0.8747 0.4041  1 Te 1.84
Te 0.0069 0.7119 0.9965  3 O 1.94-2.09
Te 0.5262 0.7881 0.8014  3 O 1.86-2.04
Te 0.5424 0.6280 0.2211  3 O 1.91-1.97
Te 0.4738 0.2119 0.1986  3 O 1.86-2.04
Te 0.0243 0.6760 0.3310  2 O 1.84-1.94
Te 0.9757 0.3240 0.6690  2 O 1.84-1.94
Te 0.9931 0.2881 0.0035  3 O 1.94-2.09
Te 0.4576 0.3720 0.7789  3 O 1.91-1.97

Output
* volume: 16.65 A^3/atom
* SG: No. 2
* uncorrected formation energy: -1.236 eV/atom
* total magnetization: 0.00 μB/cell

***

2.
DFT (PBE-GGA) results for an optimized crystal structure of Na2Te3O8.

abc: 5.8078 6.3803 6.2434
angles: 120.73 92.06 90.00
Last column: nearest neighbours and their distance in Å.
Positions (direct):
O 0.0920 0.3931 0.7862  2 Te 2.02
O 0.9080 0.6069 0.2138  2 Te 2.02
O 0.7493 0.1246 0.2492  1 Te 1.93
O 0.6607 0.1275 0.8123  2 Te 1.99-2.19
O 0.6607 0.6849 0.8123  2 Te 1.99-2.19
O 0.3393 0.3151 0.1877  2 Te 1.99-2.19
O 0.3393 0.8725 0.1877  2 Te 1.99-2.19
O 0.2507 0.8754 0.7508  1 Te 1.93
Na 0.5316 0.7006 0.4011  4 O 2.37-2.54
Na 0.4684 0.2994 0.5989  4 O 2.37-2.54
Te 0.5000 0.0000 0.0000  6 O 1.93-1.99
Te 0.0000 0.2552 0.0000  4 O 2.02-2.19
Te 0.0000 0.7448 0.0000  4 O 2.02-2.19

Output
* volume: 15.28 A^3/atom
* SG: No. 12
* uncorrected formation energy: -1.152 eV/atom
* total magnetization: 0.00 μB/cell

***

3.
DFT (PBE-GGA) results for an optimized crystal structure of NaTeO4.

abc: 4.9246 5.4157 6.6249
angles: 98.36 111.82 90.00
Last column: nearest neighbours and their distance in Å.
Positions (direct):
Te 0.5000 0.5000 0.5000  6 O 1.90-2.00
Te 0.0000 0.0000 0.5000  6 O 1.90-2.00
O 0.3098 0.0504 0.7808  1 Te 1.90
O 0.5290 0.4496 0.2192  1 Te 1.90
O 0.6902 0.9496 0.2192  1 Te 1.90
O 0.4710 0.5504 0.7808  1 Te 1.90
O 0.1696 0.2425 0.3725  2 Te 1.99-2.00
O 0.2029 0.7425 0.3725  2 Te 1.99-2.00
O 0.7971 0.2575 0.6275  2 Te 1.99-2.00
O 0.8304 0.7575 0.6275  2 Te 1.99-2.00
Na 0.2378 0.7500 0.0000  6 O 2.32-2.54
Na 0.7622 0.2500 0.0000  6 O 2.32-2.54

Output
* volume: 13.50 A^3/atom
* SG: No. 15
* uncorrected formation energy: -0.917 eV/atom
* total magnetization: 1.89 μB/cell

***

4.
DFT (PBE-GGA) results for an optimized crystal structure of NaTe2O6.

abc: 2.9527 6.5067 6.5067
angles: 120.00 90.00 90.00
Last column: nearest neighbours and their distance in Å.
Positions (direct):
O 0.7484 0.4226 0.2879  2 Te 2.08
O 0.7484 0.7121 0.1348  2 Te 2.08
O 0.2516 0.2879 0.8652  2 Te 2.08
O 0.7484 0.8652 0.5774  2 Te 2.08
O 0.2516 0.1348 0.4226  2 Te 2.08
O 0.2516 0.5774 0.7121  2 Te 2.08
Te 0.7518 0.3333 0.6667  6 O 2.08
Te 0.2482 0.6667 0.3333  6 O 2.08
Na 0.5000 0.0000 0.0000  6 O 2.54

Output
* volume: 12.03 A^3/atom
* SG: No. 147
* uncorrected formation energy: -0.764 eV/atom
* excess energy over the best structure of this formula in the dataset: 0.325 eV per atom
* total magnetization: 0.00 μB/cell

***

no.,mass density (g cm⁻³)
1,4.658
2,4.653
3,4.399
4,5.739